# RePt2Cl PBE optimized geometry
data_RePt2Cl
_chemical_formula_sum 'Re1 Pt2 Cl1'
_space_group_name_H-M_alt 'P 1'
_space_group_IT_number 1
_cell_length_a 6.000
_cell_length_b 6.000
_cell_length_c 6.000
_cell_angle_alpha 153.42
_cell_angle_beta 133.42
_cell_angle_gamma 54.44
loop_
_space_group_symop_operation_xyz
'x,y,z'
loop_
_atom_site_label
_atom_site_fract_x
_atom_site_fract_y
_atom_site_fract_z
Cl1 0.313 0.813 0.500
Pt1 0.964 0.964 0.000
Pt2 0.712 0.212 0.500
Re1 0.511 0.511 0.000
# Excess energy over the best structure of this formula in the dataset, meV/atom: 431

---

# RePt2Cl PBE optimized geometry
data_RePt2Cl
_chemical_formula_sum 'Re1 Pt2 Cl1'
_space_group_name_H-M_alt 'P 1'
_space_group_IT_number 1
_cell_length_a 3.632
_cell_length_b 2.898
_cell_length_c 6.916
_cell_angle_alpha 89.89
_cell_angle_beta 90.00
_cell_angle_gamma 90.00
loop_
_space_group_symop_operation_xyz
'x,y,z'
loop_
_atom_site_label
_atom_site_fract_x
_atom_site_fract_y
_atom_site_fract_z
Cl1 0.500 0.749 0.705
Pt1 0.000 0.751 0.066
Pt2 0.500 0.251 0.276
Re1 0.000 0.750 0.453
# Excess energy over the best structure of this formula in the dataset, meV/atom: 190

---

# RePt2Cl PBE optimized geometry
data_RePt2Cl
_chemical_formula_sum 'Re1 Pt2 Cl1'
_space_group_name_H-M_alt 'P 1'
_space_group_IT_number 1
_cell_length_a 2.865
_cell_length_b 2.865
_cell_length_c 7.970
_cell_angle_alpha 90.00
_cell_angle_beta 90.00
_cell_angle_gamma 90.00
loop_
_space_group_symop_operation_xyz
'x,y,z'
loop_
_atom_site_label
_atom_site_fract_x
_atom_site_fract_y
_atom_site_fract_z
Cl1 0.500 0.500 0.750
Pt1 0.000 0.000 0.024
Pt2 0.000 0.000 0.476
Re1 0.500 0.500 0.250
# Excess energy over the best structure of this formula in the dataset, meV/atom: 101

---

# RePt2Cl PBE optimized geometry
data_RePt2Cl
_chemical_formula_sum 'Re1 Pt2 Cl1'
_space_group_name_H-M_alt 'P 1'
_space_group_IT_number 1
_cell_length_a 4.653
_cell_length_b 4.653
_cell_length_c 6.578
_cell_angle_alpha 81.66
_cell_angle_beta 81.66
_cell_angle_gamma 35.34
loop_
_space_group_symop_operation_xyz
'x,y,z'
loop_
_atom_site_label
_atom_site_fract_x
_atom_site_fract_y
_atom_site_fract_z
Cl1 0.889 0.889 0.718
Pt1 0.949 0.949 0.077
Pt2 0.202 0.202 0.287
Re1 0.460 0.460 0.418
# Excess energy over the best structure of this formula in the dataset, meV/atom: 121

---

# RePt2RhCl PBE optimized geometry
data_RePt2RhCl
_chemical_formula_sum 'Re1 Pt2 Rh1 Cl1'
_space_group_name_H-M_alt 'P 1'
_space_group_IT_number 1
_cell_length_a 4.479
_cell_length_b 4.353
_cell_length_c 4.479
_cell_angle_alpha 90.00
_cell_angle_beta 90.00
_cell_angle_gamma 90.00
loop_
_space_group_symop_operation_xyz
'x,y,z'
loop_
_atom_site_label
_atom_site_fract_x
_atom_site_fract_y
_atom_site_fract_z
Re1 0.000 0.500 0.000
Rh1 0.500 0.500 0.500
Pt1 0.000 0.000 0.500
Pt2 0.500 0.000 0.000
Cl1 0.000 0.000 0.000
# Energy, eV/atom: -5.24

---

# RePtS2Cl PBE optimized geometry
data_RePtS2Cl
_chemical_formula_sum 'Re1 Pt1 S2 Cl1'
_space_group_name_H-M_alt 'P 1'
_space_group_IT_number 1
_cell_length_a 4.536
_cell_length_b 4.536
_cell_length_c 4.914
_cell_angle_alpha 90.00
_cell_angle_beta 90.00
_cell_angle_gamma 90.00
loop_
_space_group_symop_operation_xyz
'x,y,z'
loop_
_atom_site_label
_atom_site_fract_x
_atom_site_fract_y
_atom_site_fract_z
Re1 0.000 0.000 0.000
S1 0.000 0.500 0.000
S2 0.500 0.000 0.000
Pt1 0.500 0.500 0.500
Cl1 0.000 0.000 0.500
# Excess energy over the best structure of this formula in the dataset, meV/atom: 0

---

# RePtSCl2 PBE optimized geometry
data_RePtSCl2
_chemical_formula_sum 'Re1 Pt1 S1 Cl2'
_space_group_name_H-M_alt 'P 1'
_space_group_IT_number 1
_cell_length_a 4.810
_cell_length_b 4.810
_cell_length_c 4.500
_cell_angle_alpha 90.00
_cell_angle_beta 90.00
_cell_angle_gamma 90.00
loop_
_space_group_symop_operation_xyz
'x,y,z'
loop_
_atom_site_label
_atom_site_fract_x
_atom_site_fract_y
_atom_site_fract_z
Re1 0.000 0.000 0.000
S1 0.000 0.000 0.500
Pt1 0.500 0.500 0.500
Cl1 0.000 0.500 0.000
Cl2 0.500 0.000 0.000
# Excess energy over the best structure of this formula in the dataset, meV/atom: 0

---

# RePtS2Cl PBE optimized geometry
data_RePtS2Cl
_chemical_formula_sum 'Re1 Pt1 S2 Cl1'
_space_group_name_H-M_alt 'P 1'
_space_group_IT_number 1
_cell_length_a 4.745
_cell_length_b 4.745
_cell_length_c 4.748
_cell_angle_alpha 90.00
_cell_angle_beta 90.00
_cell_angle_gamma 90.00
loop_
_space_group_symop_operation_xyz
'x,y,z'
loop_
_atom_site_label
_atom_site_fract_x
_atom_site_fract_y
_atom_site_fract_z
Re1 0.500 0.500 0.500
S1 0.000 0.500 0.000
S2 0.500 0.000 0.000
Pt1 0.000 0.000 0.000
Cl1 0.000 0.000 0.500
# Excess energy over the best structure of this formula in the dataset, meV/atom: 426

---

# RePtSCl2 PBE optimized geometry
data_RePtSCl2
_chemical_formula_sum 'Re1 Pt1 S1 Cl2'
_space_group_name_H-M_alt 'P 1'
_space_group_IT_number 1
_cell_length_a 4.814
_cell_length_b 4.814
_cell_length_c 4.846
_cell_angle_alpha 90.00
_cell_angle_beta 90.00
_cell_angle_gamma 90.00
loop_
_space_group_symop_operation_xyz
'x,y,z'
loop_
_atom_site_label
_atom_site_fract_x
_atom_site_fract_y
_atom_site_fract_z
Re1 0.500 0.500 0.500
S1 0.000 0.000 0.500
Pt1 0.000 0.000 0.000
Cl1 0.000 0.500 0.000
Cl2 0.500 0.000 0.000
# Excess energy over the best structure of this formula in the dataset, meV/atom: 272

---

# V2RePtCl PBE optimized geometry
data_V2RePtCl
_chemical_formula_sum 'V2 Re1 Pt1 Cl1'
_space_group_name_H-M_alt 'P 1'
_space_group_IT_number 1
_cell_length_a 4.737
_cell_length_b 4.806
_cell_length_c 4.737
_cell_angle_alpha 90.00
_cell_angle_beta 90.00
_cell_angle_gamma 90.00
loop_
_space_group_symop_operation_xyz
'x,y,z'
loop_
_atom_site_label
_atom_site_fract_x
_atom_site_fract_y
_atom_site_fract_z
Re1 0.000 0.500 0.000
Cl1 0.500 0.500 0.500
Pt1 0.000 0.000 0.000
V1 0.000 0.000 0.500
V2 0.500 0.000 0.000
# Energy, eV/atom: -6.09

---

# PtRhCl6 PBE optimized geometry
data_PtRhCl6
_chemical_formula_sum 'Pt1 Rh1 Cl6'
_space_group_name_H-M_alt 'P 1'
_space_group_IT_number 1
_cell_length_a 6.246
_cell_length_b 6.524
_cell_length_c 6.524
_cell_angle_alpha 59.82
_cell_angle_beta 93.09
_cell_angle_gamma 86.91
loop_
_space_group_symop_operation_xyz
'x,y,z'
loop_
_atom_site_label
_atom_site_fract_x
_atom_site_fract_y
_atom_site_fract_z
Pt1 0.000 0.021 0.021
Rh1 0.500 0.021 0.021
Cl1 0.783 0.748 0.294
Cl2 0.217 0.294 0.748
Cl3 0.282 0.014 0.310
Cl4 0.282 0.731 0.027
Cl5 0.718 0.027 0.731
Cl6 0.718 0.310 0.014
# Energy, eV/atom: -3.48

---

# Pt3RhCl PBE optimized geometry
data_Pt3RhCl
_chemical_formula_sum 'Pt3 Rh1 Cl1'
_space_group_name_H-M_alt 'P 1'
_space_group_IT_number 1
_cell_length_a 4.476
_cell_length_b 4.476
_cell_length_c 4.476
_cell_angle_alpha 90.00
_cell_angle_beta 90.00
_cell_angle_gamma 90.00
loop_
_space_group_symop_operation_xyz
'x,y,z'
loop_
_atom_site_label
_atom_site_fract_x
_atom_site_fract_y
_atom_site_fract_z
Rh1 0.500 0.500 0.500
Pt1 0.000 0.500 0.000
Pt2 0.000 0.000 0.500
Pt3 0.500 0.000 0.000
Cl1 0.000 0.000 0.000
# Excess energy over the best structure of this formula in the dataset, meV/atom: 0

---

# PtRhCl PBE optimized geometry
data_PtRhCl
_chemical_formula_sum 'Pt1 Rh1 Cl1'
_space_group_name_H-M_alt 'P 1'
_space_group_IT_number 1
_cell_length_a 7.103
_cell_length_b 6.770
_cell_length_c 2.943
_cell_angle_alpha 84.17
_cell_angle_beta 71.48
_cell_angle_gamma 24.34
loop_
_space_group_symop_operation_xyz
'x,y,z'
loop_
_atom_site_label
_atom_site_fract_x
_atom_site_fract_y
_atom_site_fract_z
Cl1 0.012 0.012 0.988
Pt1 0.328 0.328 0.672
Rh1 0.660 0.660 0.340
# Excess energy over the best structure of this formula in the dataset, meV/atom: 60

---

# Pt4RhCl PBE optimized geometry
data_Pt4RhCl
_chemical_formula_sum 'Pt4 Rh1 Cl1'
_space_group_name_H-M_alt 'P 1'
_space_group_IT_number 1
_cell_length_a 5.297
_cell_length_b 5.297
_cell_length_c 5.297
_cell_angle_alpha 60.00
_cell_angle_beta 60.00
_cell_angle_gamma 60.00
loop_
_space_group_symop_operation_xyz
'x,y,z'
loop_
_atom_site_label
_atom_site_fract_x
_atom_site_fract_y
_atom_site_fract_z
Pt1 0.874 0.375 0.375
Pt2 0.375 0.375 0.874
Pt3 0.375 0.874 0.375
Pt4 0.375 0.375 0.375
Rh1 0.750 0.750 0.750
Cl1 0.000 0.000 0.000
# Energy, eV/atom: -4.95

---

# PtRhCl PBE optimized geometry
data_PtRhCl
_chemical_formula_sum 'Pt1 Rh1 Cl1'
_space_group_name_H-M_alt 'P 1'
_space_group_IT_number 1
_cell_length_a 3.486
_cell_length_b 3.486
_cell_length_c 5.374
_cell_angle_alpha 90.00
_cell_angle_beta 90.00
_cell_angle_gamma 120.00
loop_
_space_group_symop_operation_xyz
'x,y,z'
loop_
_atom_site_label
_atom_site_fract_x
_atom_site_fract_y
_atom_site_fract_z
Cl1 0.000 0.000 0.926
Pt1 0.667 0.333 0.392
Rh1 0.333 0.667 0.682
# Excess energy over the best structure of this formula in the dataset, meV/atom: 0